Entry 1:
A plane-wave DFT calculation with PBE-GGA was carried out for an optimized crystal structure of Sc2CdSi.

```
Sc2CdSi
1.0
3.1582 -3.9566 0.0000
3.1582 3.9566 0.0000
0.0000 0.0000 3.1389
Sc Cd Si
2 1 1
direct
0.0000 0.5000 0.0000 Sc
0.5000 0.0000 0.0000 Sc
0.0000 0.0000 0.5000 Cd
0.5000 0.5000 0.5000 Si
```

Summary:
Mass density = 4.88 g/cm3
ΔE_f (raw) = -0.383 eV/atom
M_tot = 0.000 Bohr magnetons per cell

Entry 2:
A plane-wave DFT calculation with PBE-GGA was carried out for an optimized crystal structure of ScCdSi2.

```
ScCdSi2
1.0
3.4356 0.0000 0.0000
0.0000 3.8811 0.0000
0.0000 0.0000 5.5742
Sc Cd Si
1 1 2
direct
0.0000 0.0000 0.0000 Sc
0.5000 0.5000 0.6985 Cd
0.0000 0.0000 0.4775 Si
0.5000 0.5000 0.2035 Si
```

Summary:
Mass density = 4.77 g/cm3
ΔE_f (raw) = -0.026 eV/atom
M_tot = 0.000 Bohr magnetons per cell

Entry 3:
A plane-wave DFT calculation with PBE-GGA was carried out for an optimized crystal structure of Sc2CdSi.

```
Sc2CdSi
1.0
3.1646 0.0000 0.0000
0.0000 3.7736 0.0000
0.0000 0.0000 6.6069
Sc Cd Si
2 1 1
direct
0.0000 0.0000 0.2260 Sc
0.0000 0.0000 0.7740 Sc
0.5000 0.5000 0.5000 Cd
0.5000 0.5000 0.0000 Si
```

Summary:
Mass density = 4.85 g/cm3
ΔE_f (raw) = -0.444 eV/atom
M_tot = 0.000 Bohr magnetons per cell

Entry 4:
A plane-wave DFT calculation with PBE-GGA was carried out for an optimized crystal structure of ScCdSi2.

```
ScCdSi2
1.0
4.7907 -1.8911 0.0000
4.7907 1.8911 0.0000
-1.7496 0.0000 4.2057
Sc Cd Si
1 1 2
direct
0.0000 0.0000 0.0000 Sc
0.5000 0.5000 0.5000 Cd
0.2600 0.2600 0.8375 Si
0.7400 0.7400 0.1625 Si
```

Summary:
Mass density = 4.65 g/cm3
ΔE_f (raw) = -0.118 eV/atom
M_tot = 0.000 Bohr magnetons per cell